This record from Alexandria describes PaH12Rh7 after structural relaxation. The functional is PBE.

Structure (POSCAR):
```
PaH12Rh7
1.0
-1.8730 9.8919 -2.2876
-3.5141 -3.7756 2.0826
-1.6900 4.0597 3.4066
H Pa Rh
12 1 7
Cartesian
-4.4128 5.5186 2.0091
-3.4709 9.6644 0.8096
-3.5149 7.7604 -0.2247
-3.8269 7.6787 2.5010
-3.2502 2.4973 0.7005
-3.5622 2.4155 3.4262
-2.6644 4.6574 1.1925
-5.1825 4.0356 3.3894
-1.5727 1.3224 1.4095
-1.8947 6.1403 -0.1879
-3.6063 0.5115 2.3919
-5.5044 8.8535 1.7921
0.0000 0.0000 0.0000
-1.4499 2.9705 0.8032
-4.7268 10.8198 1.7584
-5.6272 7.2054 2.3984
-4.0780 3.7933 1.9072
-2.9992 6.3826 1.2944
-0.9365 4.9459 -1.1438
-2.3504 -0.6438 1.4432
```

The calculation puts the magnetization at 0.000 μB per atom. As for the uncorrected energy: -5.15 eV/atom. The space-group type is No. 148.



This record from Alexandria describes PaH2Rh after structural relaxation. The functional is PBE.

Structure (POSCAR):
```
PaH2Rh
1.0
-0.1877 1.4447 -2.7229
1.2327 -1.2900 -2.5205
-4.4991 -2.5433 -2.7905
H Rh Pa
2 1 1
Cartesian
-0.9457 -0.9109 -5.6717
-2.5084 -1.4776 -2.3623
-1.7271 -1.1943 -4.0170
0.0000 0.0000 0.0000
```

The calculation puts the magnetization at 0.001 μB per atom. As for the uncorrected energy: -5.98 eV/atom. The space-group type is No. 166.



This record from Alexandria describes PaH4Rh2 after structural relaxation. The functional is PBE.

Structure (POSCAR):
```
PaH4Rh2
1.0
5.3708 -0.7475 -0.8936
-3.3922 4.2306 -0.8936
0.4182 0.7362 7.2808
H Pa Rh
8 2 4
Cartesian
0.7829 2.6957 4.3609
1.8800 1.2452 2.6257
2.5067 1.3760 6.2661
3.8962 0.4402 0.7206
3.5289 2.4286 4.1890
4.6009 -0.0385 3.1365
2.2607 2.6621 0.5486
-0.4073 2.3197 -0.5039
-1.0132 3.3175 2.7657
2.3759 4.1825 5.5125
0.4341 3.1443 0.7738
2.1288 1.3673 4.5698
2.0660 0.9161 0.9294
-0.4924 1.8540 5.3078
```

The calculation puts the magnetization at 0.000 μB per atom. As for the uncorrected energy: -5.64 eV/atom. The space-group type is No. 43.



This record from Alexandria describes PaH6Rh after structural relaxation. The functional is PBE.

Structure (POSCAR):
```
PaH6Rh
1.0
-3.7265 -0.4757 -2.4967
0.7747 -4.4266 -0.3910
-3.1052 -2.8501 1.2914
Rh H Pa
1 6 1
Cartesian
0.0000 0.0000 0.0000
-5.1408 -3.1982 -1.2023
-0.9162 -4.5542 -0.3940
-3.0081 -4.1617 -1.3779
-3.8285 -1.9978 -1.7565
-3.0489 -3.5907 -0.2184
-2.2285 -5.7546 0.1602
-1.4759 -2.4512 -1.4438
```

The calculation puts the magnetization at 0.142 μB per atom. As for the uncorrected energy: -4.82 eV/atom. The space-group type is No. 71.



This record from Alexandria describes PaH6Rh4 after structural relaxation. The functional is PBE.

Structure (POSCAR):
```
PaH6Rh4
1.0
5.0364 0.0497 -2.3519
-1.1485 4.2501 -2.3661
-0.4523 0.0643 5.6038
H Rh Pa
6 4 1
Cartesian
0.7170 3.8479 -0.6135
4.0277 2.0641 -0.1567
3.5960 2.0802 2.3671
1.3880 2.0324 1.0789
3.4966 4.0028 -4.3354
3.1212 3.8746 -1.7422
-0.4232 2.9988 3.5901
2.0765 2.9945 2.4410
0.3606 0.8108 1.9889
2.3098 2.9742 -0.3577
1.8877 0.6549 -1.3061
```

The calculation puts the magnetization at 0.000 μB per atom. As for the uncorrected energy: -5.59 eV/atom. The space-group type is No. 1.



This record from Alexandria describes PaSbHRh after structural relaxation. The functional is PBE.

Structure (POSCAR):
```
PaSbHRh
1.0
-2.3301 -3.6291 -0.8419
2.3314 0.3022 3.7121
-3.2778 1.6583 1.9235
Rh Sb H Pa
1 1 1 1
Cartesian
-1.7729 0.4569 2.9376
-3.1108 -1.5776 3.9432
-0.4191 -0.2280 2.1427
-2.1405 -1.4537 0.7233
```

The calculation puts the magnetization at 0.000 μB per atom. As for the uncorrected energy: -6.76 eV/atom. The space-group type is No. 156.



This record from Alexandria describes PaSiHRh2 after structural relaxation. The functional is PBE.

Structure (POSCAR):
```
PaSiHRh2
1.0
-1.6515 -3.6100 0.0878
4.1778 0.1760 -3.9720
4.5100 -1.9500 4.6572
Si Rh H Pa
2 4 2 2
Cartesian
3.1233 -1.4574 -1.1746
3.9129 -3.9266 1.9475
3.5199 -3.8063 -0.5008
1.6489 -2.9973 -2.4328
3.5164 -1.5777 1.2737
5.3874 -2.3867 3.2057
2.2550 -0.9750 2.3286
0.0000 0.0000 0.0000
6.2040 -2.8337 0.1865
0.8323 -2.5504 0.5864
```

The calculation puts the magnetization at 0.000 μB per atom. As for the uncorrected energy: -7.36 eV/atom. The space-group type is No. 63.



This record from Alexandria describes PaH8Ru2 after structural relaxation. The functional is PBE.

Structure (POSCAR):
```
PaH8Ru2
1.0
3.7482 -0.0613 0.2621
-0.0536 5.6014 -0.3763
0.3086 2.4801 4.5227
H Ru Pa
8 2 1
Cartesian
1.9296 2.6699 2.4376
0.3933 6.7091 2.9669
3.5424 3.7614 1.3065
0.4608 4.2589 3.1020
1.6369 2.7861 0.2699
3.6099 1.3111 1.4416
2.3663 5.2342 4.1386
2.0735 5.3504 1.9709
0.1558 5.4167 1.6336
3.8474 2.6035 2.7749
1.8741 -0.0306 0.1310
```

The calculation puts the magnetization at 0.000 μB per atom. As for the uncorrected energy: -5.07 eV/atom. The space-group type is No. 2.